Material: Dy3Mo2W3N12
Method: DFT, PBE-GGA
State: optimized geometry

Lattice parameters (Å, degrees): 11.0226 11.0226 11.0226 109.47 109.47 109.47
With the nearest neighbours (Å) after each atom.
Positions (direct):
Dy 0.1250 0.2500 0.3750  8 N 2.46-2.54
Dy 0.1250 0.3750 0.7500  8 N 2.46-2.54
Dy 0.2500 0.3750 0.1250  8 N 2.46-2.54
Dy 0.2500 0.8750 0.6250  8 N 2.46-2.54
Dy 0.3750 0.1250 0.2500  8 N 2.46-2.54
Dy 0.3750 0.7500 0.1250  8 N 2.46-2.54
Dy 0.6250 0.2500 0.8750  8 N 2.46-2.54
Dy 0.6250 0.8750 0.7500  8 N 2.46-2.54
Dy 0.7500 0.1250 0.3750  8 N 2.46-2.54
Dy 0.7500 0.6250 0.8750  8 N 2.46-2.54
Dy 0.8750 0.6250 0.2500  8 N 2.46-2.54
Dy 0.8750 0.7500 0.6250  8 N 2.46-2.54
Mo 0.0000 0.0000 0.0000  6 N 2.07
Mo 0.0000 0.0000 0.5000  6 N 2.07
Mo 0.0000 0.5000 0.0000  6 N 2.07
Mo 0.0000 0.5000 0.5000  6 N 2.07
Mo 0.5000 0.0000 0.0000  6 N 2.07
Mo 0.5000 0.0000 0.5000  6 N 2.07
Mo 0.5000 0.5000 0.0000  6 N 2.07
Mo 0.5000 0.5000 0.5000  6 N 2.07
W 0.1250 0.7500 0.8750  4 N 1.87
W 0.1250 0.8750 0.2500  4 N 1.87
W 0.2500 0.1250 0.8750  4 N 1.87
W 0.2500 0.6250 0.3750  4 N 1.87
W 0.3750 0.2500 0.6250  4 N 1.87
W 0.3750 0.6250 0.7500  4 N 1.87
W 0.6250 0.3750 0.2500  4 N 1.87
W 0.6250 0.7500 0.3750  4 N 1.87
W 0.7500 0.3750 0.6250  4 N 1.87
W 0.7500 0.8750 0.1250  4 N 1.87
W 0.8750 0.1250 0.7500  4 N 1.87
W 0.8750 0.2500 0.1250  4 N 1.87
N 0.0229 0.2047 0.1184  1 W 1.87, 1 Mo 2.07
N 0.0229 0.3182 0.9045  1 W 1.87, 1 Mo 2.07
N 0.0863 0.7047 0.6818  1 W 1.87, 1 Mo 2.07
N 0.0863 0.8816 0.4045  1 W 1.87, 1 Mo 2.07
N 0.0955 0.6184 0.4137  1 W 1.87, 1 Mo 2.07
N 0.0955 0.9771 0.6818  1 W 1.87, 1 Mo 2.07
N 0.1184 0.0229 0.2047  1 W 1.87, 1 Mo 2.07
N 0.1184 0.5955 0.9137  1 W 1.87, 1 Mo 2.07
N 0.1818 0.2047 0.5863  1 W 1.87, 1 Mo 2.07
N 0.1818 0.4771 0.5955  1 W 1.87, 1 Mo 2.07
N 0.2047 0.1184 0.0229  1 W 1.87, 1 Mo 2.07
N 0.2047 0.5863 0.1818  1 W 1.87, 1 Mo 2.07
N 0.2953 0.3182 0.9137  1 W 1.87, 1 Mo 2.07
N 0.2953 0.4771 0.3816  1 W 1.87, 1 Mo 2.07
N 0.3182 0.9045 0.0229  1 W 1.87, 1 Mo 2.07
N 0.3182 0.9137 0.2953  1 W 1.87, 1 Mo 2.07
N 0.3816 0.2953 0.4771  1 W 1.87, 1 Mo 2.07
N 0.3816 0.5863 0.9045  1 W 1.87, 1 Mo 2.07
N 0.4045 0.0863 0.8816  1 W 1.87, 1 Mo 2.07
N 0.4045 0.8182 0.5229  1 W 1.87, 1 Mo 2.07
N 0.4137 0.0955 0.6184  1 W 1.87, 1 Mo 2.07
N 0.4137 0.8182 0.7953  1 W 1.87, 1 Mo 2.07
N 0.4771 0.3816 0.2953  1 W 1.87, 1 Mo 2.07
N 0.4771 0.5955 0.1818  1 W 1.87, 1 Mo 2.07
N 0.5229 0.4045 0.8182  1 W 1.87, 1 Mo 2.07
N 0.5229 0.6184 0.7047  1 W 1.87, 1 Mo 2.07
N 0.5863 0.1818 0.2047  1 W 1.87, 1 Mo 2.07
N 0.5863 0.9045 0.3816  1 W 1.87, 1 Mo 2.07
N 0.5955 0.1818 0.4771  1 W 1.87, 1 Mo 2.07
N 0.5955 0.9137 0.1184  1 W 1.87, 1 Mo 2.07
N 0.6184 0.4137 0.0955  1 W 1.87, 1 Mo 2.07
N 0.6184 0.7047 0.5229  1 W 1.87, 1 Mo 2.07
N 0.6818 0.0863 0.7047  1 W 1.87, 1 Mo 2.07
N 0.6818 0.0955 0.9771  1 W 1.87, 1 Mo 2.07
N 0.7047 0.5229 0.6184  1 W 1.87, 1 Mo 2.07
N 0.7047 0.6818 0.0863  1 W 1.87, 1 Mo 2.07
N 0.7953 0.4137 0.8182  1 W 1.87, 1 Mo 2.07
N 0.7953 0.8816 0.9771  1 W 1.87, 1 Mo 2.07
N 0.8182 0.5229 0.4045  1 W 1.87, 1 Mo 2.07
N 0.8182 0.7953 0.4137  1 W 1.87, 1 Mo 2.07
N 0.8816 0.4045 0.0863  1 W 1.87, 1 Mo 2.07
N 0.8816 0.9771 0.7953  1 W 1.87, 1 Mo 2.07
N 0.9045 0.0229 0.3182  1 W 1.87, 1 Mo 2.07
N 0.9045 0.3816 0.5863  1 W 1.87, 1 Mo 2.07
N 0.9137 0.1184 0.5955  1 W 1.87, 1 Mo 2.07
N 0.9137 0.2953 0.3182  1 W 1.87, 1 Mo 2.07
N 0.9771 0.6818 0.0955  1 W 1.87, 1 Mo 2.07
N 0.9771 0.7953 0.8816  1 W 1.87, 1 Mo 2.07

density	9.01	g/cm³
uncorrected energy	-9.46	eV per atom